Entry 1:
AcSm3C: relaxed, PBE-GGA.

Final energy: -5.417 eV/atom

abc: 5.2427 5.2427 5.2427
angles: 90.00 90.00 90.00
Last column: nearest neighbours and their distance in Å.
Space group Pm-3m (No. 221)
Unique sites:
Ac 0.0000 0.0000 0.0000 (multiplicity 1)  12 Sm 3.71
Sm 0.0000 0.5000 0.5000 (multiplicity 3)  2 C 2.62
C 0.5000 0.5000 0.5000 (multiplicity 1)  6 Sm 2.62

Entry 2:
Ta2TiAlH: relaxed, PBE-GGA.

Final energy: -7.941 eV/atom

abc: 4.0183 4.0183 4.4005
angles: 90.00 90.00 90.00
Last column: nearest neighbours and their distance in Å.
Space group P4/mmm (No. 123)
Unique sites:
Ta 0.0000 0.5000 0.0000 (multiplicity 2)  2 H 2.01
Ti 0.0000 0.0000 0.5000 (multiplicity 1)  2 H 2.20
Al 0.5000 0.5000 0.5000 (multiplicity 1)  4 Ti 2.84, 8 Ta 2.98
H 0.0000 0.0000 0.0000 (multiplicity 1)  4 Ta 2.01, 2 Ti 2.20

Entry 3:
Li2TeAu: relaxed, PBE-GGA.

Final energy: -3.105 eV/atom
Energy relative to the elements, uncorrected: -0.54 eV per atom

abc: 4.1153 4.1187 9.0051
angles: 90.00 90.00 90.00
Last column: nearest neighbours and their distance in Å.
Space group Imm2 (No. 44)
Unique sites:
Li 0.0000 0.0000 0.0000 (multiplicity 2)  4 Te 2.91, 4 Au 3.05-3.06, 4 Li 3.05
Li 0.0000 0.5000 0.2495 (multiplicity 2)  4 Au 2.91, 4 Li 3.05, 4 Te 3.05
Te 0.0000 0.0000 0.4992 (multiplicity 2)  8 Li 2.91-3.05, 4 Au 3.05
Au 0.0000 0.5000 0.7493 (multiplicity 2)  8 Li 2.91-3.06, 4 Te 3.05

Entry 4:
Sc6Ge2Te3P: relaxed, PBE-GGA.

Final energy: -6.323 eV/atom
Energy relative to the elements, uncorrected: -1.15 eV per atom

abc: 6.8977 11.9377 7.0625
angles: 90.00 108.98 90.00
Last column: nearest neighbours and their distance in Å.
Space group C2/m (No. 12)
Unique sites:
Sc 0.2355 0.1644 0.2139 (multiplicity 8)  1 P 2.68, 2 Ge 2.72, 2 Te 2.98
Sc 0.2434 0.5000 0.2158 (multiplicity 4)  1 P 2.69, 2 Ge 2.72, 3 Te 2.98-3.01
Ge 0.0000 0.3335 0.0000 (multiplicity 4)  6 Sc 2.72
Te 0.0000 0.1682 0.5000 (multiplicity 4)  6 Sc 2.98-3.00
Te 0.0000 0.5000 0.5000 (multiplicity 2)  6 Sc 2.98-3.01
P 0.0000 0.0000 0.0000 (multiplicity 2)  6 Sc 2.68-2.69

Entry 5:
SrTiTe2: relaxed, PBE-GGA.

Final energy: -4.734 eV/atom
Energy relative to the elements, uncorrected: -0.77 eV per atom

abc: 6.9523 6.9523 13.4934
angles: 90.00 90.00 90.00
Last column: nearest neighbours and their distance in Å.
Space group I-42d (No. 122)
Unique sites:
Sr 0.0000 0.0000 0.0000 (multiplicity 4)  4 Te 3.24
Ti 0.0000 0.0000 0.5000 (multiplicity 4)  4 Te 2.76
Te 0.1905 0.2500 0.6250 (multiplicity 8)  2 Ti 2.76